# PBE with a Hubbard U FePPd2F, relaxed
data_FePPd2F
_cell_length_a 4.6016
_cell_length_b 4.6016
_cell_length_c 3.8827
_cell_angle_alpha 90.00
_cell_angle_beta 90.00
_cell_angle_gamma 90.00
_space_group_name_H-M_alt 'P 1'
_space_group_IT_number 1
_space_group_name_Hall 'P 1'
loop_
_atom_site_label
_atom_site_type_symbol
_atom_site_fract_x
_atom_site_fract_y
_atom_site_fract_z
_atom_site_occupancy
Fe1 Fe 0.0000 0.0000 0.0000 1
P1 P 0.5000 0.5000 0.5000 1
Pd1 Pd 0.0000 0.5000 0.5000 1
Pd2 Pd 0.5000 0.0000 0.5000 1
F1 F 0.5000 0.5000 0.0000 1
# **Raw total energy**: -24.84 eV for the cell shown
# **Fermi-level density of states**: 0.374 states/eV per atom
# **Total magnetization**: 3.88 Bohr magnetons per cell